# 1
Density functional theory data (PBE) for an optimized crystal structure of SnAsPb2.

Cell: 3.7120 3.7120 31.0467 Å, 90.00 90.00 120.00°
Space group R-3m (No. 166, hexagonal axes)
Inequivalent atoms, fractional coordinates:
Sn 0.0000 0.0000 0.0000 x3
As 0.0000 0.0000 0.5000 x3
Pb 0.0000 0.0000 0.1025 x6

- calculated volume (Å³ per cell) = 370.5
- formation enthalpy at 0 K (eV per atom) = 0.22
- M_tot (μB/f.u.) = 0.00
- energy (eV per atom) = -3.794
- DOS(E_F) (states/eV/atom) = 0.654


# 2
Density functional theory data (PBE) for an optimized crystal structure of TeMo2W.

Cell: 3.308 4.396 9.339 Å, 90.00 90.00 90.00°
Space group Imm2 (No. 44)
Inequivalent atoms, fractional coordinates:
Te 0.000 0.000 0.000 x2
Mo 0.000 0.000 0.502 x2
Mo 0.000 0.500 0.748 x2
W 0.000 0.500 0.249 x2

- calculated volume (Å³ per cell) = 135.8
- M_tot (μB/f.u.) = 0.00
- formation energy without anion corrections (meV per atom) = 416
- energy (eV per atom) = -9.023
- DOS(E_F) (states/eV/atom) = 0.859


Question: The lowest energy belongs to which entry?
Answer: TeMo2W